# 1
Compound: ScNi3H
Source: Alexandria via LeMat-Bulk
Functional: GGA-PBE
Structure: optimized geometry

extended XYZ file:
```
20
Lattice="0.000 4.895 4.895 4.895 0.000 4.895 4.895 4.895 0.000" Properties=species:S:1:pos:R:3 pbc="T T T"
H 1.224 3.671 3.671
Ni 4.244 2.448 2.448
Ni 2.448 2.448 4.244
H 3.671 1.224 3.671
Ni 1.796 4.895 4.895
Ni 2.448 0.651 2.448
Sc 3.671 6.119 3.671
Sc 3.671 3.671 6.119
Ni 4.895 4.895 1.796
H 3.671 3.671 1.224
Ni 4.895 1.796 4.895
H 1.224 1.224 1.224
Ni 4.895 4.895 7.994
Ni 7.994 4.895 4.895
Sc 6.119 6.119 6.119
Ni 2.448 4.244 2.448
Ni 4.895 7.994 4.895
Ni 0.651 2.448 2.448
Ni 2.448 2.448 0.651
Sc 6.119 3.671 3.671
```

Properties
Spin magnetization ... 0.000 Bohr magnetons per cell
Energy above the lowest structure with this stoichiometry ... 307 meV per atom
Space group ... Fd-3m (227)
V ... 235 Å³/cell



# 2
Compound: Zr2TeRh
Source: Alexandria via LeMat-Bulk
Functional: GGA-PBE
Structure: optimized geometry

extended XYZ file:
```
4
Lattice="5.737 -0.001 -0.003 4.617 3.405 -0.003 1.805 0.594 4.133" Properties=species:S:1:pos:R:3 pbc="T T T"
Zr 2.878 0.947 1.110
Rh 6.050 1.990 2.077
Zr 10.334 3.398 0.005
Te 9.330 3.068 2.994
```

Properties
Spin magnetization ... 0.000 Bohr magnetons per cell
Energy above the lowest structure with this stoichiometry ... 91 meV per atom
Space group ... Imm2 (44)
Formation energy from raw total energies ... -551 meV per atom
V ... 81 Å³/cell



# 3
Compound: Sr5Tl2Zn
Source: Alexandria via LeMat-Bulk
Functional: GGA-PBE
Structure: optimized geometry

extended XYZ file:
```
16
Lattice="5.707 0.000 0.000 0.000 7.428 0.000 0.000 0.000 13.991" Properties=species:S:1:pos:R:3 pbc="T T T"
Tl 2.854 6.399 1.899
Tl 2.854 4.743 8.894
Sr 2.854 1.250 8.443
Sr 0.000 0.991 3.950
Sr 0.000 6.436 10.040
Tl 2.854 2.685 5.097
Sr 2.854 2.464 1.447
Tl 2.854 1.029 12.092
Sr 0.000 2.722 10.946
Sr 2.854 6.178 5.548
Sr 0.000 0.000 0.000
Sr 0.000 3.714 6.995
Zn 0.000 0.000 6.995
Zn 0.000 3.714 0.000
Sr 2.854 4.964 12.543
Sr 0.000 4.705 3.045
```

Properties
Spin magnetization ... 0.000 Bohr magnetons per cell
Space group ... Pbam (55)
Formation energy from the elements ... -0.2610 eV/atom
V ... 593 Å³/cell